A plane-wave DFT calculation with PBE-GGA was carried out for crystalline ErThTe2 at its relaxed geometry.

Calculated values
The value obtained for the energy above the most stable polymorph in this dataset is 0.016 eV per atom. The value obtained for the formation energy without anion corrections is -1.1151 eV per atom. The electronic total energy comes out at -22.7 eV for the cell shown. The value obtained for the total magnetization is 0.00 μB per formula unit.

a = 8.2781 Å, b = 8.2781 Å, c = 8.2781 Å
α = 29.22°, β = 29.22°, γ = 29.22°
Sites, in units of the cell vectors:
Er: 0.0000 0.0000 0.0000
Th: 0.5000 0.5000 0.5000
Te: 0.2556 0.2556 0.2556
Te: 0.7444 0.7444 0.7444